[1]
VASP calculation (GGA-PBE) on a geometry-optimized Ca3ReAg structure.

Output
- energy of formation from the pure elements (eV per atom) = 0.72
- energy relative to the lowest polymorph listed for this composition (meV/atom) = 0
- theoretical density (kg/m³) = 4202

POSCAR file:
```
Ca3ReAg
1.0
5.471 0.000 0.000
0.000 5.471 0.000
0.000 0.000 5.471
Ca Re Ag
3 1 1
Direct
0.000 0.000 0.500
0.000 0.500 0.000
0.500 0.000 0.000
0.000 0.000 0.000
0.500 0.500 0.500
```

=====

[2]
VASP calculation (GGA-PBE) on a geometry-optimized LaDyPbAu structure.

Output
- energy of formation from the pure elements (eV per atom) = -0.62
- theoretical density (kg/m³) = 10496

POSCAR file:
```
LaDyPbAu
1.0
0.000 3.822 3.822
3.822 0.000 3.822
3.822 3.822 0.000
La Dy Pb Au
1 1 1 1
Direct
0.000 0.000 0.000
0.500 0.500 0.500
0.250 0.250 0.250
0.750 0.750 0.750
```

=====

Total magnetic moment per entry: 0.00 0.81 μB/f.u.